Entry 1:
First-principles (PBE) data for a geometry-optimized HfNbNi structure, as listed in the Alexandria database.

Space group: I4mm, No. 107
E in eV/atom: -8.77

Cell lengths 3.084, 3.084, 5.806 Å; angles 105.40, 105.40, 90.00 degrees
Atoms (fractional coordinates):
Hf: 0.679 0.679 0.357
Nb: 0.984 0.984 0.968
Ni: 0.337 0.337 0.675

***

Entry 2:
First-principles (PBE) data for a geometry-optimized Hf2NbNi structure, as listed in the Alexandria database.

Space group: I-42d, No. 122
E in eV/atom: -8.43

Cell lengths 4.016, 4.016, 10.004 Å; angles 78.42, 78.42, 90.00 degrees
Atoms (fractional coordinates):
Hf: 0.128 0.625 0.250
Nb: 0.750 0.250 0.500
Hf: 0.622 0.125 0.250
Hf: 0.875 0.872 0.750
Hf: 0.375 0.378 0.750
Ni: 0.500 0.500 0.000
Ni: 0.250 0.750 0.500
Nb: 0.000 0.000 0.000

***

Entry 3:
First-principles (PBE) data for a geometry-optimized Hf2NbNi2 structure, as listed in the Alexandria database.

Space group: P4/mbm, No. 127
E in eV/atom: -8.59

Cell lengths 7.226, 7.226, 3.207 Å; angles 90.00, 90.00, 90.00 degrees
Atoms (fractional coordinates):
Ni: 0.375 0.875 0.000
Hf: 0.330 0.170 0.500
Nb: 0.000 0.000 0.000
Hf: 0.830 0.330 0.500
Ni: 0.125 0.375 0.000
Ni: 0.875 0.625 0.000
Hf: 0.170 0.670 0.500
Nb: 0.500 0.500 0.000
Ni: 0.625 0.125 0.000
Hf: 0.670 0.830 0.500

***

Entry 4:
First-principles (PBE) data for a geometry-optimized HfNb2Ni2 structure, as listed in the Alexandria database.

Space group: P4/mbm, No. 127
E in eV/atom: -8.29

Cell lengths 7.678, 7.678, 2.742 Å; angles 90.00, 90.00, 90.00 degrees
Atoms (fractional coordinates):
Ni: 0.673 0.827 0.500
Hf: 0.500 0.500 0.000
Nb: 0.873 0.627 0.000
Ni: 0.173 0.673 0.500
Ni: 0.327 0.173 0.500
Hf: 0.000 0.000 0.000
Nb: 0.373 0.873 0.000
Nb: 0.627 0.127 0.000
Ni: 0.827 0.327 0.500
Nb: 0.127 0.373 0.000

***

Entry 5:
First-principles (PBE) data for a geometry-optimized HfNbNi3 structure, as listed in the Alexandria database.

Space group: Pm-3m, No. 221
E in eV/atom: -6.40

Cell lengths 4.464, 4.464, 4.464 Å; angles 90.00, 90.00, 90.00 degrees
Last column: magnetic moment on the atom in μB.
Atoms (fractional coordinates):
Ni: 0.500 0.000 0.000  0.14
Ni: 0.000 0.500 0.000  0.07
Nb: 0.500 0.500 0.500  1.14
Hf: 0.000 0.000 0.000  -0.07
Ni: 0.000 0.000 0.500  0.12

***

Entry 6:
First-principles (PBE) data for a geometry-optimized HfNbNi6 structure, as listed in the Alexandria database.

Space group: P-6m2, No. 187
E in eV/atom: -7.24

Cell lengths 4.319, 5.210, 5.210 Å; angles 120.00, 90.00, 90.00 degrees
Atoms (fractional coordinates):
Ni: 0.500 0.909 0.091
Nb: 0.500 0.417 0.583
Ni: 0.000 0.075 0.412
Ni: 0.000 0.588 0.412
Hf: 0.000 0.083 0.917
Ni: 0.000 0.588 0.925
Ni: 0.500 0.432 0.091
Ni: 0.500 0.909 0.568

***

Entry 7:
First-principles (PBE) data for a geometry-optimized HfNb2Ni structure, as listed in the Alexandria database.

Space group: I-42d, No. 122
E in eV/atom: -8.66

Cell lengths 3.775, 3.775, 10.621 Å; angles 79.76, 79.76, 90.00 degrees
Atoms (fractional coordinates):
Ni: 0.250 0.750 0.500
Nb: 0.623 0.125 0.250
Nb: 0.875 0.873 0.750
Ni: 0.500 0.500 0.000
Hf: 0.000 0.000 0.000
Nb: 0.375 0.377 0.750
Nb: 0.127 0.625 0.250
Hf: 0.750 0.250 0.500

***

Entry 8:
First-principles (PBE) data for a geometry-optimized Hf2NbNi2 structure, as listed in the Alexandria database.

Space group: P4/mbm, No. 127
E in eV/atom: -8.44

Cell lengths 7.454, 7.454, 3.025 Å; angles 90.00, 90.00, 90.00 degrees
Atoms (fractional coordinates):
Ni: 0.364 0.136 0.500
Ni: 0.864 0.364 0.500
Ni: 0.136 0.636 0.500
Nb: 0.000 0.000 0.000
Nb: 0.500 0.500 0.000
Hf: 0.841 0.659 0.000
Hf: 0.659 0.159 0.000
Hf: 0.159 0.341 0.000
Hf: 0.341 0.841 0.000
Ni: 0.636 0.864 0.500

***

Entry 9:
First-principles (PBE) data for a geometry-optimized Hf3NbNi12 structure, as listed in the Alexandria database.

Space group: P4/mmm, No. 123
E in eV/atom: -7.24

Cell lengths 3.724, 3.724, 14.852 Å; angles 90.00, 90.00, 90.00 degrees
Atoms (fractional coordinates):
Nb: 0.000 0.000 0.000
Ni: 0.500 0.000 0.878
Ni: 0.000 0.500 0.626
Ni: 0.500 0.000 0.374
Ni: 0.500 0.000 0.626
Ni: 0.000 0.500 0.878
Ni: 0.500 0.500 0.249
Ni: 0.500 0.500 0.500
Ni: 0.000 0.500 0.374
Ni: 0.500 0.000 0.122
Hf: 0.000 0.000 0.500
Hf: 0.000 0.000 0.249
Ni: 0.500 0.500 0.751
Hf: 0.000 0.000 0.751
Ni: 0.000 0.500 0.122
Ni: 0.500 0.500 0.000

***

Entry 10:
First-principles (PBE) data for a geometry-optimized HfNbNi2Rh structure, as listed in the Alexandria database.

Space group: P4/mmm, No. 123
E in eV/atom: -6.33

Cell lengths 4.411, 4.970, 4.411 Å; angles 90.00, 90.00, 90.00 degrees
Last column: magnetic moment on the atom in μB.
Atoms (fractional coordinates):
Rh: 0.500 0.500 0.500  0.14
Ni: 0.500 0.000 0.000  0.02
Hf: 0.000 0.000 0.000  0.02
Ni: 0.000 0.000 0.500  0.10
Nb: 0.000 0.500 0.000  0.35

***

Entry 11:
First-principles (PBE) data for a geometry-optimized HfNbNiRh2 structure, as listed in the Alexandria database.

Space group: P4/mmm, No. 123
E in eV/atom: -6.69

Cell lengths 4.661, 4.985, 4.661 Å; angles 90.00, 90.00, 90.00 degrees
Last column: magnetic moment on the atom in μB.
Atoms (fractional coordinates):
Ni: 0.500 0.500 0.500  0.44
Rh: 0.500 0.000 0.000  -0.01
Nb: 0.000 0.500 0.000  -0.05
Rh: 0.000 0.000 0.500  0.00
Hf: 0.000 0.000 0.000  0.01

***

Entry 12:
First-principles (PBE) data for a geometry-optimized HfNbNiRu2 structure, as listed in the Alexandria database.

Space group: P4/mmm, No. 123
E in eV/atom: -7.07

Cell lengths 4.662, 4.942, 4.662 Å; angles 90.00, 90.00, 90.00 degrees
Last column: magnetic moment on the atom in μB.
Atoms (fractional coordinates):
Nb: 0.000 0.500 0.000  -0.23
Ru: 0.500 0.000 0.000  0.42
Hf: 0.000 0.000 0.000  -0.03
Ni: 0.500 0.500 0.500  0.58
Ru: 0.000 0.000 0.500  0.39